(1)
Here is a relaxed structure of Lu3Se2N from OQMD via LeMat-Bulk. Energies are from PBE.

The structure belongs to space group P-3m1 (No. 164); the cell edges are 3.6504, 3.6504 and 9.8783 Å and the angles 90.00°, 90.00° and 120.00°. Symmetry generates all atoms from Lu at (0.0000, 0.0000, 0.0000), Lu at (0.3333, 0.6667, 0.6238), Se at (0.3333, 0.6667, 0.1847) and N at (0.0000, 0.0000, 0.5000).

The value obtained for the volume is 114.0 Å³ per cell. The calculation puts the final energy at -6.431 eV per atom. The density comes out at 10.15 g/cm³. The size of the total moment is 0.00 μB per atom.


(2)
Here is a relaxed structure of AcNpSc from OQMD via LeMat-Bulk. Energies are from PBE.

The structure belongs to space group F-43m (No. 216); the cell edges are 7.4301, 7.4301 and 7.4301 Å and the angles 90.00°, 90.00° and 90.00°. Symmetry generates all atoms from Ac at (0.0000, 0.0000, 0.0000), Np at (0.2500, 0.2500, 0.7500) and Sc at (0.2500, 0.2500, 0.2500).

The value obtained for the volume is 410.2 Å³ per cell. The distance to the lowest polymorph of the same formula is 0.1590 eV/atom. The density comes out at 8.24 g/cm³. The size of the total moment is 2.00 μB per atom. Its formation energy is 1.265 eV/atom.


(3)
Here is a relaxed structure of Zr4TlGaC2 from OQMD via LeMat-Bulk. Energies are from PBE.

The structure belongs to space group P-6m2 (No. 187); the cell edges are 3.3647, 3.3647 and 14.6737 Å and the angles 90.00°, 90.00° and 120.00°. Symmetry generates all atoms from Zr at (0.0000, 0.0000, 0.1561), Zr at (0.3333, 0.6667, 0.3264), Tl at (0.0000, 0.0000, 0.5000), Ga at (0.3333, 0.6667, 0.0000) and C at (0.6667, 0.3333, 0.2425).

The value obtained for the volume is 143.9 Å³ per cell. The calculation puts the final energy at -7.928 eV per atom. The density comes out at 7.65 g/cm³. The size of the total moment is 0.00 μB per atom.


(4)
Here is a relaxed structure of GdSi4Pd3 from OQMD via LeMat-Bulk. Energies are from PBE.

The structure belongs to space group Pm (No. 6); the cell edges are 4.4074, 4.1042 and 7.4957 Å and the angles 90.00°, 91.05° and 90.00°. Symmetry generates all atoms from Gd at (0.0000, 0.0000, 0.0000), Si at (0.4379, 0.5000, 0.8319), Si at (0.5936, 0.0000, 0.6580), Si at (0.6027, 0.0000, 0.3222), Si at (0.9766, 0.5000, 0.3093), Pd at (0.1271, 0.0000, 0.4674), Pd at (0.4770, 0.5000, 0.1528) and Pd at (0.9282, 0.5000, 0.6837).

The value obtained for the volume is 135.6 Å³ per cell. The calculation puts the final energy at -5.838 eV per atom. The density comes out at 7.21 g/cm³. The size of the total moment is 0.00 μB per atom.


What is the size of the total moment in the third record?
0.00 μB per atom


What is the formula in the first record?
Lu3Se2N


The highest size of the total moment belongs to which entry?
AcNpSc